[1]
The following is a PBE calculation of an optimized crystal structure of PmPrMgRu, from Alexandria via LeMat-Bulk.

a = 7.337 Å, b = 7.337 Å, c = 7.337 Å
α = 90.00°, β = 90.00°, γ = 90.00°
Space group F-43m (No. 216)
Symmetry-distinct sites (fractional):
1 Pm 0.000 0.000 0.000 x4
2 Pr 0.000 0.000 0.500 x4
3 Mg 0.250 0.250 0.750 x4
4 Ru 0.250 0.250 0.250 x4

The formation energy is -0.060 eV per atom.

=====

[2]
The following is a PBE calculation of an optimized crystal structure of BaIrBr2, from Alexandria via LeMat-Bulk.

a = 5.9108 Å, b = 5.9108 Å, c = 11.5268 Å
α = 90.00°, β = 90.00°, γ = 120.00°
Space group R-3m (No. 166, hexagonal axes)
Symmetry-distinct sites (fractional):
1 Ba 0.0000 0.0000 0.0000 x3
2 Ir 0.0000 0.0000 0.5000 x3
3 Br 0.0000 0.0000 0.2905 x6

For the energy relative to the elements, uncorrected, the calculation gives -0.511 eV/atom.

=====

[3]
The following is a PBE calculation of an optimized crystal structure of Dy6CoAu3, from Alexandria via LeMat-Bulk.

a = 6.696 Å, b = 7.690 Å, c = 12.212 Å
α = 90.00°, β = 122.51°, γ = 90.00°
Space group P2_1/c (No. 14)
Symmetry-distinct sites (fractional):
1 Dy 0.081 0.198 0.434 x4
2 Dy 0.259 0.660 0.428 x4
3 Dy 0.390 0.040 0.237 x4
4 Co 0.000 0.000 0.000 x2
5 Au 0.178 0.116 0.737 x4
6 Au 0.500 0.000 0.500 x2

The formation energy is -0.519 eV per atom.

=====

[4]
The following is a PBE calculation of an optimized crystal structure of KSn2OsPd, from Alexandria via LeMat-Bulk.

a = 5.551 Å, b = 5.551 Å, c = 4.656 Å
α = 90.00°, β = 90.00°, γ = 90.00°
Space group P4/mmm (No. 123)
Symmetry-distinct sites (fractional):
1 K 0.000 0.000 0.000 x1
2 Sn 0.000 0.500 0.000 x2
3 Os 0.000 0.000 0.500 x1
4 Pd 0.500 0.500 0.500 x1

The formation energy is 2.300 eV per atom.